8
Lattice="-2.236 -4.188 -0.481 0.998 -1.055 4.546 -6.182 0.135 3.894" Properties=species:S:1:pos:R:3 comment="Co2AgF PBE+U relaxed" space_group=I4_1/amd final_energy_ev_per_atom=-3.44 magmom_total_mub_per_atom=1.086 pbc="T T T"
Co -1.761 -2.197 3.634
Co -4.851 -2.129 5.582
Ag -4.518 -3.338 2.723
F -0.619 -2.622 2.032
Co -2.259 -1.668 1.361
F -2.901 -1.771 5.236
Ag 0.000 0.000 0.000
Co -5.969 -4.223 5.340